SnPt6 | PBE | optimized geometry

a = 7.048 Å, b = 7.048 Å, c = 7.048 Å
α = 90.00°, β = 90.00°, γ = 90.00°
Space group Im-3m (No. 229)
Symmetry-distinct sites (fractional):
Sn: 0.000 0.000 0.000 (multiplicity 2)
Pt: 0.000 0.250 0.500 (multiplicity 12)

Calculated values
The calculation puts the formation energy at 0.74 eV/atom. As for the density of states at the Fermi level: 13.78 states/eV/f.u.